BaInAsC2 | Alexandria | GGA-PBEsol | optimized geometry; energy relative to the elements = 1.647 eV per atom
1.0
4.4203 0.0000 0.0000
0.0000 4.4203 0.0000
0.0000 0.0000 5.1164
Ba In As C
1 1 1 2
direct
0.0000 0.0000 0.0000
0.5000 0.5000 0.0000
0.5000 0.5000 0.5000
0.0000 0.5000 0.5000
0.5000 0.0000 0.5000

LiTeW2 | Alexandria | GGA-PBEsol | optimized geometry; uncorrected formation energy = 1.0667 eV/atom
1.0
1.5555 -2.3180 0.0000
1.5555 2.3180 0.0000
0.0000 0.0000 9.7970
Li Te W
1 1 2
direct
0.0000 0.0000 0.0000
0.0000 0.0000 0.5000
0.5000 0.5000 0.2430
0.5000 0.5000 0.7570